No. 1
# Ta3Nb4Co6

A relaxed structure of Ta3Nb4Co6 (GGA-PBE, OQMD via LeMat-Bulk).

Output
Its crystal system is trigonal. The energy is -121.37 eV per formula unit. As for the total magnetization: 0.01 μB/f.u. Its space group is R-3m.

```
Ta3Nb4Co6
1.0
2.476 1.430 8.750
-2.476 1.430 8.750
0.000 -2.859 8.750
Co Nb Ta
6 4 3
direct
0.908 0.908 0.419
0.581 0.092 0.092
0.908 0.419 0.908
0.419 0.908 0.908
0.092 0.092 0.581
0.092 0.581 0.092
0.654 0.654 0.654
0.833 0.833 0.833
0.346 0.346 0.346
0.167 0.167 0.167
0.551 0.551 0.551
0.449 0.449 0.449
0.000 0.000 0.000
```



No. 2
# Tb2HoMg3Ir2Pt

A relaxed structure of Tb2HoMg3Ir2Pt (GGA-PBE, OQMD via LeMat-Bulk).

Output
Its crystal system is orthorhombic. The energy is -49.31 eV per formula unit. As for the total magnetization: 0.01 μB/f.u. Its space group is Amm2.

```
Tb2HoMg3Ir2Pt
1.0
4.042 0.000 0.000
0.000 6.340 3.661
0.000 -6.340 3.661
Ir Pt Ho Mg Tb
2 1 1 3 2
direct
0.500 0.666 0.333
0.500 0.333 0.666
0.000 0.000 0.000
0.000 0.413 0.413
0.500 0.247 0.000
0.500 0.000 0.247
0.500 0.753 0.753
0.000 0.000 0.587
0.000 0.587 0.000
```



No. 3
# SrMgCdAu2

A relaxed structure of SrMgCdAu2 (GGA-PBE, OQMD via LeMat-Bulk).

Output
Its crystal system is tetragonal. The energy is -13.62 eV per formula unit. Its space group is I-4m2.

```
SrMgCdAu2
1.0
5.329 4.092 2.360
-0.267 5.396 4.639
-2.044 -6.719 -1.174
Sr Au Mg Cd
1 2 1 1
direct
0.000 0.000 0.000
0.391 0.391 0.000
0.609 0.609 0.000
0.750 0.250 0.500
0.250 0.750 0.500
```



No. 4
# MgHgTeO

A relaxed structure of MgHgTeO (GGA-PBE, OQMD via LeMat-Bulk).

Output
Its crystal system is tetragonal. The energy is -11.24 eV per formula unit. Its space group is P4/nmm.

```
MgHgTeO
1.0
-3.399 2.803 -0.288
-1.138 -1.777 -3.878
-5.590 -6.314 4.533
Hg Mg Te O
2 2 2 2
direct
0.250 0.250 0.866
0.750 0.750 0.134
0.750 0.750 0.717
0.250 0.250 0.283
0.750 0.250 0.500
0.250 0.750 0.500
0.250 0.250 0.094
0.750 0.750 0.906
```



No. 5
# AgBOs

A relaxed structure of AgBOs (GGA-PBE, OQMD via LeMat-Bulk).

Output
Its crystal system is cubic. The energy is -16.03 eV per formula unit. As for the total magnetization: 0.24 μB/f.u. Its space group is F-43m.

```
AgBOs
1.0
0.000 2.855 2.855
2.855 0.000 2.855
2.855 2.855 0.000
Ag Os B
1 1 1
direct
0.250 0.250 0.250
0.000 0.000 0.000
0.750 0.750 0.750
```



No. 6
# ErPIrO

A relaxed structure of ErPIrO (GGA-PBE, OQMD via LeMat-Bulk).

Output
Its crystal system is tetragonal. The energy is -31.69 eV per formula unit. As for the total magnetization: 0.02 μB/f.u. Its space group is P4/nmm.

```
ErPIrO
1.0
3.936 0.000 0.000
0.000 3.936 0.000
0.000 0.000 7.953
Er Ir O P
2 2 2 2
direct
0.000 0.000 0.133
0.500 0.500 0.867
0.500 0.000 0.500
0.000 0.500 0.500
0.500 0.000 0.000
0.000 0.500 0.000
0.000 0.000 0.666
0.500 0.500 0.334
```



No. 7
# RbCdSn

A relaxed structure of RbCdSn (GGA-PBE, OQMD via LeMat-Bulk).

Output
Its crystal system is orthorhombic. The energy is -6.39 eV per formula unit. Its space group is Imm2.

```
RbCdSn
1.0
5.246 0.000 0.000
2.621 6.173 0.000
2.621 -0.245 6.171
Cd Sn Rb
2 2 2
direct
0.718 0.188 0.334
0.121 0.784 0.930
0.597 0.639 0.124
0.242 0.993 0.479
0.919 0.591 0.527
0.419 0.202 0.916
```



No. 8
# TbGdTlCu2

A relaxed structure of TbGdTlCu2 (GGA-PBE, OQMD via LeMat-Bulk).

Output
Its crystal system is orthorhombic. The energy is -20.67 eV per formula unit. As for the total magnetization: 0.02 μB/f.u. Its space group is Amm2.

```
TbGdTlCu2
1.0
-3.068 0.268 -1.932
-1.382 -7.143 1.202
-3.211 -4.963 4.409
Tl Gd Cu Tb
1 1 2 1
direct
0.500 0.000 0.000
0.000 0.366 0.366
0.500 0.796 0.796
0.500 0.203 0.203
0.000 0.635 0.635
```



No. 9
# LaCoGe

A relaxed structure of LaCoGe (GGA-PBE, OQMD via LeMat-Bulk).

Output
Its crystal system is tetragonal. The energy is -18.51 eV per formula unit. As for the total magnetization: 0.38 μB/f.u. Its space group is P4/nmm.

```
LaCoGe
1.0
-3.205 2.120 -1.681
-2.615 -3.097 1.081
-1.163 3.138 6.175
La Co Ge
2 2 2
direct
0.000 0.500 0.311
0.500 0.000 0.689
0.000 0.000 0.000
0.500 0.500 0.000
0.000 0.500 0.823
0.500 0.000 0.177
```



No. 10
# GdDyCu2Sb4

A relaxed structure of GdDyCu2Sb4 (GGA-PBE, OQMD via LeMat-Bulk).

Output
Its crystal system is tetragonal. The energy is -38.20 eV per formula unit. As for the total magnetization: 0.00 μB/f.u. Its space group is P4mm.

```
GdDyCu2Sb4
1.0
4.310 0.000 0.000
0.000 4.310 0.000
0.000 0.000 9.881
Gd Sb Cu Dy
1 4 2 1
direct
0.500 0.500 0.249
0.000 0.000 0.340
0.000 0.500 0.000
0.500 0.500 0.660
0.500 0.000 0.000
0.000 0.500 0.500
0.500 0.000 0.500
0.000 0.000 0.751
```



No. 11
# HgIrSeO

A relaxed structure of HgIrSeO (GGA-PBE, OQMD via LeMat-Bulk).

Output
Its crystal system is orthorhombic. The energy is -18.36 eV per formula unit. As for the total magnetization: 0.02 μB/f.u. Its space group is Pmc2_1.

```
HgIrSeO
1.0
3.651 0.000 0.000
0.000 7.908 0.000
0.000 0.000 5.411
O Se Ir Hg
2 2 2 2
direct
0.500 0.809 0.684
0.500 0.191 0.184
0.000 0.850 0.182
0.000 0.150 0.682
0.500 0.999 0.934
0.500 0.001 0.434
0.000 0.426 0.191
0.000 0.574 0.691
```



No. 12
# PaCo6Ge4

A relaxed structure of PaCo6Ge4 (GGA-PBE, OQMD via LeMat-Bulk).

Output
Its crystal system is hexagonal. The energy is -74.53 eV per formula unit. As for the total magnetization: 0.13 μB/f.u. Its space group is P-6m2.

```
PaCo6Ge4
1.0
-2.064 2.412 5.993
0.955 -6.663 -0.827
3.533 0.374 1.066
Co Ge Pa
6 4 1
direct
0.202 0.403 0.500
0.534 0.068 0.000
0.932 0.466 0.000
0.597 0.798 0.500
0.534 0.466 0.000
0.202 0.798 0.500
0.802 0.198 0.500
0.396 0.198 0.500
0.802 0.604 0.500
0.333 0.667 0.000
0.000 0.000 0.000
```



No. 13
# RbCuTeIrS2

A relaxed structure of RbCuTeIrS2 (GGA-PBE, OQMD via LeMat-Bulk).

Output
Its crystal system is orthorhombic. The energy is -27.45 eV per formula unit. As for the total magnetization: 0.01 μB/f.u. Its space group is Cmcm.

```
RbCuTeIrS2
1.0
1.640 4.086 -6.883
-3.938 -5.625 4.429
-6.957 6.694 2.316
S Ir Te Cu Rb
4 2 2 2 2
direct
0.904 0.096 0.541
0.096 0.904 0.041
0.096 0.904 0.459
0.904 0.096 0.959
0.500 0.500 0.500
0.500 0.500 0.000
0.426 0.574 0.250
0.574 0.426 0.750
0.044 0.956 0.250
0.956 0.044 0.750
0.276 0.724 0.750
0.724 0.276 0.250
```



No. 14
# Nd2PbO4

A relaxed structure of Nd2PbO4 (GGA-PBE, OQMD via LeMat-Bulk).

Output
Its crystal system is monoclinic. The energy is -51.42 eV per formula unit. As for the total magnetization: 0.00 μB/f.u. Its space group is C2/m.

```
Nd2PbO4
1.0
-6.970 -2.595 -0.707
-5.614 -2.611 -4.181
8.592 -5.942 3.382
Nd O Pb
4 8 2
direct
0.389 0.389 0.535
0.836 0.836 0.184
0.611 0.611 0.465
0.164 0.164 0.816
0.411 0.411 0.347
0.733 0.733 0.342
0.589 0.589 0.653
0.041 0.041 0.316
0.202 0.202 0.052
0.798 0.798 0.948
0.267 0.267 0.658
0.959 0.959 0.684
0.884 0.884 0.824
0.116 0.116 0.176
```